Entry 1:
BC2 (PBE, optimized geometry); D(E_F) = 0.08 states/eV per atom; electronic total energy = -97.24 eV for the cell shown; formation energy from the elements = 272 meV/atom; crystal system = monoclinic; symmetry = P2/m, No. 10; offset from the most stable computed form = 0.032 eV per atom
1.0
-2.5062 0.3242 0.3047
0.3980 -1.1568 4.5037
0.8888 6.3244 0.5817
B C
4 8
Cartesian
0.6235 3.2488 1.6713
0.3808 1.3712 1.6731
0.6683 0.7757 4.6712
0.0277 0.0548 0.1693
-0.6145 1.4846 3.9978
-0.8427 0.9864 2.6512
-0.1647 5.8059 3.0995
-0.3675 5.6598 1.5871
0.8538 3.4727 3.3276
1.0841 4.9986 3.5984
-0.5988 4.2924 1.1399
-0.4036 2.9895 4.1313

Entry 2:
Tb15Tm2In2 (PBE, optimized geometry); D(E_F) = 1.26 states/eV per atom; electronic total energy = -80.82 eV for the cell shown; formation energy from the elements = 161 meV/atom; crystal system = trigonal; symmetry = R-3m, No. 166
1.0
8.2483 -0.5769 2.2095
1.5463 8.1225 2.2095
-0.7489 -0.5769 8.5062
Tb Tm In
15 2 2
Cartesian
0.7732 4.0613 1.1047
-0.3744 -0.2885 4.2531
4.1241 -0.2885 1.1047
1.8803 -0.5769 6.6661
6.2898 1.9653 2.2095
0.8756 5.5803 4.0495
3.5048 5.5803 2.2095
-0.0782 1.9653 6.6661
5.6191 -0.5769 4.0495
4.0938 6.4790 5.8494
2.9926 2.3055 8.8702
7.3090 2.3055 5.8494
4.9519 0.4896 7.0757
6.0530 4.6632 4.0549
1.7367 4.6632 7.0757
6.1707 4.7538 8.8171
2.8750 2.2148 4.1080
8.1852 6.3058 11.6956
0.8605 0.6629 1.2295

Entry 3:
CePa2In (PBE, optimized geometry); D(E_F) = 2.88 states/eV per atom; electronic total energy = -26.88 eV for the cell shown; formation energy from the elements = 195 meV/atom; crystal system = tetragonal; symmetry = P4/mmm, No. 123; offset from the most stable computed form = 0.194 eV per atom
1.0
3.9287 0.0000 0.0000
0.0000 3.9287 0.0000
0.0000 0.0000 6.6718
Pa Ce In
2 1 1
Cartesian
0.0000 0.0000 4.9809
0.0000 0.0000 1.6909
1.9643 1.9643 3.3359
1.9643 1.9643 0.0000

Entry 4:
ZnPb2Se (PBE, optimized geometry); D(E_F) = 0.45 states/eV per atom; electronic total energy = -12.15 eV for the cell shown; crystal system = orthorhombic; E_form (uncorrected) = 0.63 kJ/mol of atoms; symmetry = Immm, No. 71; offset from the most stable computed form = 0.160 eV per atom
1.0
-0.2551 5.4896 1.7424
-1.6308 -0.1544 5.5275
4.3258 -2.0294 -3.2257
Pb Se Zn
2 1 1
Cartesian
-0.0069 0.0196 0.0268
-0.9360 2.6479 3.6082
0.8760 0.2419 2.9684
1.5639 3.0638 1.0759

Q: The highest D(E_F) belongs to which entry?
A: CePa2In